Entry 1:
Density functional theory data (GGA-PBE) for a relaxed structure of Ce2TlSe4.

The mass density comes out at 7.152 g/cm³. The formation energy without anion corrections is -1413 meV/atom. As for the spin magnetization: 1.02 μB per formula unit. For the offset from the most stable computed form, the calculation gives 0.012 eV/atom. For the uncorrected energy, the calculation gives -5.4377 eV per atom. As for the crystal system: tetragonal.

The space group is I-42d (No. 122) and the conventional cell measures 9.053, 9.053 and 9.069 Å, with angles of 90.00, 90.00 and 90.00 degrees. Symmetry generates all atoms from Ce at (0.135, 0.250, 0.125), Tl at (0.000, 0.000, 0.500) and Se at (0.079, 0.165, 0.818).

Entry 2:
Density functional theory data (GGA-PBE) for a relaxed structure of Ru2PtCl.

The mass density comes out at 12.199 g/cm³. The formation energy without anion corrections is 430 meV/atom. As for the spin magnetization: 0.00 μB per formula unit. For the offset from the most stable computed form, the calculation gives 0.142 eV/atom. For the uncorrected energy, the calculation gives -6.1802 eV per atom. As for the crystal system: trigonal.

The space group is R-3m (No. 166, hexagonal axes) and the conventional cell measures 2.8463, 2.8463 and 25.1836 Å, with angles of 90.00, 90.00 and 120.00 degrees. Symmetry generates all atoms from Ru at (0.0000, 0.0000, 0.2462), Pt at (0.0000, 0.0000, 0.0000) and Cl at (0.0000, 0.0000, 0.5000).

Entry 3:
Density functional theory data (GGA-PBE) for a relaxed structure of InSbRh2.

The mass density comes out at 9.555 g/cm³. The formation energy without anion corrections is -411 meV/atom. As for the spin magnetization: 0.00 μB per formula unit. For the uncorrected energy, the calculation gives -5.8020 eV per atom. As for the crystal system: monoclinic.

The space group is P2_1/c (No. 14) and the conventional cell measures 7.835, 6.640 and 5.911 Å, with angles of 90.00, 90.05 and 90.00 degrees. Symmetry generates all atoms from In at (0.121, 0.100, 0.210), Sb at (0.368, 0.572, 0.298), Rh at (0.144, 0.713, 0.009) and Rh at (0.397, 0.212, 0.490).

Question: uncorrected energy of number 1 (Ce2TlSe4)?
Answer: -5.4377 eV per atom

Question: Look up the uncorrected energy of the second one.
Answer: -6.1802 eV per atom

Question: Which value of mass density does entry 2 give?
Answer: 12.199 g/cm³

Question: Look up the spin magnetization of the third one.
Answer: 0.00 μB per formula unit